a:
Rb2NaCd2: optimized geometry, PBE.

## Properties
Total moment = 0.0000 μB per atom

Cell and atoms, written as POSCAR:
```
Rb2NaCd2
1.0
-3.9962 -1.7688 3.6968
2.6125 -4.6818 5.0155
1.7734 1.3528 6.9959
Rb Cd Na
2 2 1
Direct
0.3011 0.1990 0.6988
0.6989 0.8010 0.3012
0.9999 0.7558 0.7444
0.0001 0.2442 0.2556
0.5000 0.5000 0.0000
```

b:
Rb2NaCd2: optimized geometry, PBE.

## Properties
Total moment = 0.0000 μB per atom

Cell and atoms, written as POSCAR:
```
Rb2NaCd2
1.0
5.3630 0.0000 0.0000
0.0000 9.9970 1.4449
-2.6815 -0.6830 4.5590
Cd Rb Na
2 2 1
Direct
0.3339 0.9429 0.6678
0.6661 0.0571 0.3322
0.6661 0.6931 0.3323
0.3339 0.3069 0.6677
0.0000 0.0000 0.0000
```

Short version: a is the least stable of them.

a:
Rb2NaCd2: optimized geometry, PBE.

## Properties
Total moment = 0.0000 μB per atom

Cell and atoms, written as POSCAR:
```
Rb2NaCd2
1.0
10.9459 0.0000 0.0000
0.0000 10.9459 0.0000
0.0000 0.0000 3.8513
Rb Cd Na
4 4 2
Direct
0.6900 0.1900 0.0000
0.8100 0.6900 0.0000
0.3100 0.8100 0.0000
0.1900 0.3100 0.0000
0.9020 0.4020 0.5000
0.4020 0.0980 0.5000
0.0980 0.5980 0.5000
0.5980 0.9020 0.5000
0.0000 0.0000 0.0000
0.5000 0.5000 0.0000
```

b:
Rb2NaCd2: optimized geometry, PBE.

## Properties
Total moment = 0.0000 μB per atom

Cell and atoms, written as POSCAR:
```
Rb2NaCd2
1.0
8.9946 0.0000 0.0000
0.0000 8.9946 0.0000
0.0000 0.0000 5.5787
Cd Rb Na
4 4 2
Direct
0.3808 0.8808 0.0000
0.1192 0.3808 0.0000
0.8808 0.6192 0.0000
0.6192 0.1192 0.0000
0.8224 0.3224 0.5000
0.1776 0.6776 0.5000
0.3224 0.1776 0.5000
0.6776 0.8224 0.5000
0.5000 0.5000 0.0000
0.0000 0.0000 0.0000
```

Short version: a is the least stable of them.